# 1
Entry from Alexandria: a relaxed Sc2TiP crystal (PBE).

Values from the calculation:
Total moment   0.494 μB per atom
Formation energy from the elements   -242 meV/atom
Raw total energy   -6.734 eV per atom

a = 3.4186 Å, b = 3.4186 Å, c = 26.3404 Å
α = 90.00°, β = 90.00°, γ = 120.00°
Space group R-3m (No. 166, hexagonal axes)
Inequivalent atoms, fractional coordinates:
1 Sc 0.0000 0.0000 0.1068 [6 per cell]
2 Ti 0.0000 0.0000 0.0000 [3 per cell]
3 P 0.0000 0.0000 0.5000 [3 per cell]

# 2
Entry from Alexandria: a relaxed ScTi2P2 crystal (PBE).

Values from the calculation:
Total moment   0.000 μB per atom
Formation energy from the elements   -610 meV/atom
Raw total energy   -7.198 eV per atom
E above lowest polymorph   492 meV per atom

a = 4.672 Å, b = 4.672 Å, c = 8.064 Å
α = 90.00°, β = 90.00°, γ = 90.00°
Space group I4/mmm (No. 139)
Inequivalent atoms, fractional coordinates:
1 Sc 0.000 0.000 0.000 [2 per cell]
2 Ti 0.000 0.000 0.339 [4 per cell]
3 P 0.000 0.500 0.250 [4 per cell]

# 3
Entry from Alexandria: a relaxed ScTiP3 crystal (PBE).

Values from the calculation:
Total moment   0.028 μB per atom
Formation energy from the elements   539 meV/atom
Raw total energy   -5.552 eV per atom
E above lowest polymorph   701 meV per atom

a = 4.804 Å, b = 4.804 Å, c = 4.804 Å
α = 90.00°, β = 90.00°, γ = 90.00°
Space group Pm-3m (No. 221)
Inequivalent atoms, fractional coordinates:
1 Sc 0.000 0.000 0.000 [1 per cell]
2 Ti 0.500 0.500 0.500 [1 per cell]
3 P 0.000 0.000 0.500 [3 per cell]

# 4
Entry from Alexandria: a relaxed ScTi2P crystal (PBE).

Values from the calculation:
Total moment   0.210 μB per atom
Formation energy from the elements   -797 meV/atom
Raw total energy   -7.680 eV per atom

a = 3.522 Å, b = 9.995 Å, c = 7.726 Å
α = 90.00°, β = 90.00°, γ = 90.00°
Space group Cmcm (No. 63)
Inequivalent atoms, fractional coordinates:
1 Sc 0.000 0.058 0.250 [4 per cell]
2 Ti 0.000 0.357 0.047 [8 per cell]
3 P 0.000 0.232 0.750 [4 per cell]

# 5
Entry from Alexandria: a relaxed Sc2TiP crystal (PBE).

Values from the calculation:
Total moment   0.000 μB per atom
Formation energy from the elements   172 meV/atom
Raw total energy   -6.320 eV per atom

a = 3.1088 Å, b = 3.1088 Å, c = 29.9344 Å
α = 90.00°, β = 90.00°, γ = 120.00°
Space group R-3m (No. 166, hexagonal axes)
Inequivalent atoms, fractional coordinates:
1 Sc 0.0000 0.0000 0.0864 [6 per cell]
2 Ti 0.0000 0.0000 0.5000 [3 per cell]
3 P 0.0000 0.0000 0.0000 [3 per cell]

# 6
Entry from Alexandria: a relaxed ScTi2P2 crystal (PBE).

Values from the calculation:
Total moment   0.000 μB per atom
Formation energy from the elements   -1102 meV/atom
Raw total energy   -7.690 eV per atom
E above lowest polymorph   0 meV per atom

a = 6.809 Å, b = 6.809 Å, c = 3.334 Å
α = 90.00°, β = 90.00°, γ = 90.00°
Space group P4/mbm (No. 127)
Inequivalent atoms, fractional coordinates:
1 Sc 0.000 0.000 0.000 [2 per cell]
2 Ti 0.154 0.346 0.500 [4 per cell]
3 P 0.139 0.639 0.000 [4 per cell]

Question: Which value of raw total energy does entry 2 give?
Answer: -7.198 eV per atom

Question: The highest formation energy from the elements belongs to which entry?
Answer: ScTiP3